Entry 1:
Entry from Alexandria via LeMat-Bulk: Rb2NaCeI6 after structural relaxation (PBE).

The structure in CIF format:
```
data_Rb2NaCeI6
_chemical_formula_sum 'Rb4 Na2 Ce2 I12'
_cell_length_a 8.485
_cell_length_b 8.973
_cell_length_c 12.234
_cell_angle_alpha 90.00
_cell_angle_beta 89.55
_cell_angle_gamma 90.00
_space_group_name_H-M_alt 'P 1'
_space_group_IT_number 1
_space_group_name_Hall 'P 1'
loop_
_atom_site_label
_atom_site_fract_x
_atom_site_fract_y
_atom_site_fract_z
Rb1 0.028 0.921 0.251
Rb2 0.528 0.579 0.751
Rb3 0.972 0.079 0.749
Rb4 0.472 0.421 0.249
Na1 0.500 0.000 0.000
Na2 0.000 0.500 0.500
Ce1 0.500 0.000 0.500
Ce2 0.000 0.500 0.000
I1 0.302 0.693 0.050
I2 0.802 0.807 0.550
I3 0.698 0.307 0.950
I4 0.198 0.193 0.450
I5 0.312 0.704 0.450
I6 0.812 0.796 0.950
I7 0.688 0.296 0.550
I8 0.188 0.204 0.050
I9 0.899 0.523 0.247
I10 0.399 0.977 0.747
I11 0.101 0.477 0.753
I12 0.601 0.023 0.253
```

## Properties
The total magnetization comes out at 1.00 μB/f.u. The calculation puts the energy relative to the elements, uncorrected at -14.1 eV per formula unit.

---

Entry 2:
Entry from Alexandria via LeMat-Bulk: La3GaF after structural relaxation (PBE).

The structure in CIF format:
```
data_La3GaF
_chemical_formula_sum 'La3 Ga1 F1'
_cell_length_a 5.146
_cell_length_b 5.146
_cell_length_c 5.146
_cell_angle_alpha 90.00
_cell_angle_beta 90.00
_cell_angle_gamma 90.00
_space_group_name_H-M_alt 'P 1'
_space_group_IT_number 1
_space_group_name_Hall 'P 1'
loop_
_atom_site_label
_atom_site_fract_x
_atom_site_fract_y
_atom_site_fract_z
F1 0.000 0.000 0.000
Ga1 0.500 0.500 0.500
La1 0.000 0.500 0.000
La2 0.000 0.000 0.500
La3 0.500 0.000 0.000
```

## Properties
The total magnetization comes out at 0.00 μB/f.u. The calculation puts the energy relative to the elements, uncorrected at -5.6 eV per formula unit.

---

Entry 3:
Entry from Alexandria via LeMat-Bulk: RbRu2Pt after structural relaxation (PBE).

The structure in CIF format:
```
data_RbRu2Pt
_chemical_formula_sum 'Rb1 Ru2 Pt1'
_cell_length_a 4.719
_cell_length_b 4.719
_cell_length_c 4.719
_cell_angle_alpha 60.00
_cell_angle_beta 60.00
_cell_angle_gamma 60.00
_space_group_name_H-M_alt 'P 1'
_space_group_IT_number 1
_space_group_name_Hall 'P 1'
loop_
_atom_site_label
_atom_site_fract_x
_atom_site_fract_y
_atom_site_fract_z
Ru1 0.250 0.250 0.250
Ru2 0.750 0.750 0.750
Rb1 0.000 0.000 0.000
Pt1 0.500 0.500 0.500
```

## Properties
The total magnetization comes out at 4.53 μB/f.u. The formation energy is 33.151 kcal/mol of atoms.

---

Entry 4:
Entry from Alexandria via LeMat-Bulk: Dy8Y6Sc after structural relaxation (PBE).

The structure in CIF format:
```
data_Dy8Y6Sc
_chemical_formula_sum 'Dy8 Y6 Sc1'
_cell_length_a 9.010
_cell_length_b 9.010
_cell_length_c 8.572
_cell_angle_alpha 58.30
_cell_angle_beta 58.30
_cell_angle_gamma 60.00
_space_group_name_H-M_alt 'P 1'
_space_group_IT_number 1
_space_group_name_Hall 'P 1'
loop_
_atom_site_label
_atom_site_fract_x
_atom_site_fract_y
_atom_site_fract_z
Dy1 0.721 0.110 0.422
Dy2 0.890 0.253 0.578
Dy3 0.253 0.279 0.578
Dy4 0.576 0.576 0.271
Dy5 0.424 0.424 0.729
Dy6 0.747 0.721 0.422
Dy7 0.110 0.747 0.422
Dy8 0.279 0.890 0.578
Y1 0.456 0.892 0.879
Y2 0.108 0.226 0.121
Y3 0.226 0.544 0.121
Y4 0.774 0.456 0.879
Y5 0.892 0.774 0.879
Y6 0.544 0.108 0.121
Sc1 0.000 0.000 0.000
```

## Properties
The total magnetization comes out at 0.00 μB/f.u. The formation energy is 2.670 kcal/mol of atoms.